Entry 1
Dy4Ge2H, relaxed, DFT PBE; calculated volume = 22.705 Å³ per atom; calculated density = 8.32 g/cm3; space group = P2_1/m (11)
1.0
6.190 0.000 -0.234
0.000 6.429 0.000
-2.546 0.000 8.083
Dy Ge H
8 4 2
Direct
0.514 0.500 0.265
0.096 0.750 0.910
0.904 0.250 0.090
0.514 0.000 0.265
0.928 0.250 0.620
0.486 0.000 0.735
0.486 0.500 0.735
0.072 0.750 0.380
0.709 0.750 0.046
0.291 0.250 0.954
0.243 0.250 0.429
0.757 0.750 0.571
0.252 0.750 0.190
0.748 0.250 0.810


Entry 2
Dy4Ge2H, relaxed, DFT PBE; calculated volume = 22.148 Å³ per atom; calculated density = 8.53 g/cm3; space group = I4/mmm (139)
1.0
-0.481 -1.160 4.229
-1.387 -3.995 -1.254
8.447 -0.070 -1.359
H Ge Dy
1 2 4
Direct
0.000 0.000 0.000
0.635 0.635 0.270
0.365 0.365 0.730
0.819 0.819 0.639
0.181 0.181 0.361
0.000 0.500 0.000
0.500 0.000 0.000


Most stable structure among those shown: entry 1. Next: +28 meV per atom.